VASP calculation (GGA-PBE) on an optimized crystal structure of Ce2ErZn2Ge2.

The calculation puts the density of states at the Fermi level at 10.60 states/eV/f.u. The energy of formation from the pure elements comes out at -0.402 eV per atom. The total energy is -31.0 eV per formula unit.

The space group is R-3m (No. 166, hexagonal axes) and the conventional cell measures 4.2938, 4.2938 and 27.2955 Å, with angles of 90.00, 90.00 and 120.00 degrees. The distinct sites, in fractional coordinates, are Ce at (0.0000, 0.0000, 0.1412), Er at (0.0000, 0.0000, 0.0000), Zn at (0.0000, 0.0000, 0.4046) and Ge at (0.0000, 0.0000, 0.2674).

VASP calculation (GGA-PBE) on an optimized crystal structure of RbTl2B.

The calculation puts the density of states at the Fermi level at 0.43 states/eV/f.u. The energy of formation from the pure elements comes out at 1.024 eV per atom. Its relative energy among the computed polymorphs is 442 meV per atom. The total energy is -8.3 eV per formula unit.

The space group is Fm-3m (No. 225) and the conventional cell measures 7.6484, 7.6484 and 7.6484 Å, with angles of 90.00, 90.00 and 90.00 degrees. The distinct sites, in fractional coordinates, are Rb at (0.0000, 0.0000, 0.0000), Tl at (0.2500, 0.2500, 0.2500) and B at (0.0000, 0.0000, 0.5000).